The following is a PBE-GGA calculation of an optimized crystal structure of Li2CdSi2, from the Alexandria database.

Geometry as POSCAR:
```
Li2CdSi2
1.0
-2.914 0.188 2.589
2.538 -0.611 2.901
0.629 5.552 3.246
Si Li Cd
2 2 1
Cartesian
0.282 4.221 5.893
-0.029 0.908 2.842
1.489 2.365 4.445
-1.236 2.764 4.290
0.000 0.000 0.000
```

Properties
* SG: No. 139
* energy relative to the elements, uncorrected: 0.0560 eV per atom
* crystal system: tetragonal